1.
VASP calculation (PBE-GGA) on crystalline GaHgPd6 at its relaxed geometry.

Computed properties:
**V**: 126.97 Å³ per cell
**Calculated formation energy**: -0.271 eV per atom

```
GaHgPd6
1.0
4.0089 0.0000 0.0000
0.0000 4.0089 0.0000
0.0000 0.0000 7.9007
Ga Hg Pd
1 1 6
direct
0.0000 0.0000 0.5000
0.0000 0.0000 0.0000
0.5000 0.5000 0.0000
0.5000 0.5000 0.5000
0.5000 0.0000 0.2643
0.5000 0.0000 0.7357
0.0000 0.5000 0.2643
0.0000 0.5000 0.7357
```


2.
VASP calculation (PBE-GGA) on crystalline Co2Mo at its relaxed geometry.

Computed properties:
**V**: 145.68 Å³ per cell
**Calculated formation energy**: 0.050 eV per atom

```
Co2Mo
1.0
5.1817 0.0000 0.0000
0.0000 3.6304 0.0000
0.0000 0.0000 7.7441
Mo Co
4 8
direct
0.1491 0.2500 0.9061
0.3509 0.7500 0.4061
0.6491 0.2500 0.5939
0.8509 0.7500 0.0939
0.1219 0.2500 0.2469
0.1286 0.2500 0.5817
0.3714 0.7500 0.0817
0.3781 0.7500 0.7469
0.6219 0.2500 0.2531
0.6286 0.2500 0.9183
0.8714 0.7500 0.4183
0.8781 0.7500 0.7531
```


3.
VASP calculation (PBE-GGA) on crystalline La2VZnH at its relaxed geometry.

Computed properties:
**V**: 107.54 Å³ per cell
**E_tot**: -4.781 eV per atom

```
La2VZnH
1.0
5.3017 0.0000 0.0000
0.0000 3.8259 0.0000
0.0000 0.0000 5.3017
H Zn V La
1 1 1 2
direct
0.0000 0.0000 0.0000
0.5000 0.5000 0.5000
0.0000 0.5000 0.0000
0.0000 0.0000 0.5000
0.5000 0.0000 0.0000
```